1.
A relaxed structure of TlCoCuTe2, computed with PBE.

Values from the calculation:
Its symmetry is P4/mmm. Its volume is 124.8 Å³ per cell. The value obtained for the density of states at the Fermi level is 5.228 states/eV/cell. As for the crystal system: tetragonal. The size of the total moment is 0.2 μB/f.u. The uncorrected formation energy comes out at 0.507 eV/atom.

Unit cell a=5.037 b=5.037 c=4.921 alpha=90.00 beta=90.00 gamma=90.00
Atoms (fractional coordinates):
Tl: 0.000 0.000 0.000
Co: 0.000 0.000 0.500
Cu: 0.500 0.500 0.000
Te: 0.000 0.500 0.500
Te: 0.500 0.000 0.500

2.
A relaxed structure of TlCo2CuTe, computed with PBE.

Values from the calculation:
Its symmetry is P4/mmm. Its volume is 110.1 Å³ per cell. The value obtained for the density of states at the Fermi level is 6.502 states/eV/cell. As for the crystal system: tetragonal. The size of the total moment is 2.2 μB/f.u. The uncorrected formation energy comes out at 0.809 eV/atom.

Unit cell a=4.746 b=4.746 c=4.888 alpha=90.00 beta=90.00 gamma=90.00
Atoms (fractional coordinates):
Tl: 0.000 0.000 0.000
Co: 0.000 0.500 0.500
Co: 0.500 0.000 0.500
Cu: 0.500 0.500 0.000
Te: 0.500 0.500 0.500

3.
A relaxed structure of ZrCoCuTe2, computed with PBE.

Values from the calculation:
Its symmetry is P4/mmm. Its volume is 148.0 Å³ per cell. The value obtained for the density of states at the Fermi level is 2.514 states/eV/cell. As for the crystal system: tetragonal. The size of the total moment is 1.9 μB/f.u. The uncorrected formation energy comes out at 0.797 eV/atom.

Unit cell a=5.561 b=5.561 c=4.786 alpha=90.00 beta=90.00 gamma=90.00
Atoms (fractional coordinates):
Zr: 0.000 0.000 0.000
Co: 0.000 0.000 0.500
Cu: 0.500 0.500 0.500
Te: 0.000 0.500 0.000
Te: 0.500 0.000 0.000

4.
A relaxed structure of Th2Co3Cu, computed with PBE.

Values from the calculation:
The uncorrected energy is -6.893 eV per atom. Its symmetry is Fmmm. Its volume is 223.6 Å³ per cell. The value obtained for the density of states at the Fermi level is 11.312 states/eV/cell. As for the crystal system: orthorhombic. The size of the total moment is 1.6 μB/f.u.

Unit cell a=8.103 b=8.046 c=5.645 alpha=70.08 beta=69.00 gamma=40.92
Atoms (fractional coordinates):
Th: 0.249 0.751 0.751
Th: 0.250 0.250 0.250
Th: 0.750 0.750 0.750
Th: 0.751 0.249 0.249
Co: 0.179 0.661 0.339
Co: 0.338 0.338 0.662
Co: 0.339 0.821 0.179
Co: 0.661 0.179 0.821
Co: 0.662 0.662 0.338
Co: 0.821 0.339 0.661
Cu: 0.166 0.166 0.834
Cu: 0.834 0.834 0.166

5.
A relaxed structure of Th5Co2Cu2, computed with PBE.

Values from the calculation:
The uncorrected energy is -6.779 eV per atom. Its symmetry is Ima2. Its volume is 416.4 Å³ per cell. The value obtained for the density of states at the Fermi level is 18.903 states/eV/cell. As for the crystal system: orthorhombic. The size of the total moment is 0.0 μB/f.u.

Unit cell a=10.546 b=10.546 c=10.546 alpha=53.07 beta=145.29 gamma=141.16
Atoms (fractional coordinates):
Th: 0.098 0.014 0.583
Th: 0.165 0.077 0.242
Th: 0.165 0.423 0.588
Th: 0.431 0.514 0.417
Th: 0.482 0.792 0.004
Th: 0.482 0.977 0.190
Th: 0.788 0.292 0.810
Th: 0.788 0.477 0.996
Th: 0.835 0.577 0.412
Th: 0.835 0.923 0.758
Co: 0.010 0.688 0.822
Co: 0.697 0.197 0.500
Co: 0.697 0.697 0.000
Co: 0.866 0.188 0.178
Cu: 0.207 0.388 0.913
Cu: 0.207 0.794 0.319
Cu: 0.475 0.294 0.087
Cu: 0.475 0.888 0.681

6.
A relaxed structure of Th4Co2Cu5, computed with PBE.

Values from the calculation:
The uncorrected energy is -6.004 eV per atom. Its symmetry is P2/m. Its volume is 218.8 Å³ per cell. The value obtained for the density of states at the Fermi level is 10.027 states/eV/cell. As for the crystal system: monoclinic. The size of the total moment is 0.0 μB/f.u.

Unit cell a=6.803 b=3.789 c=8.511 alpha=90.00 beta=94.06 gamma=90.00
Atoms (fractional coordinates):
Th: 0.197 0.000 0.357
Th: 0.243 0.000 0.921
Th: 0.757 0.000 0.079
Th: 0.803 0.000 0.643
Co: 0.060 0.500 0.150
Co: 0.940 0.500 0.850
Cu: 0.190 0.500 0.641
Cu: 0.449 0.500 0.182
Cu: 0.500 0.500 0.500
Cu: 0.551 0.500 0.818
Cu: 0.810 0.500 0.359

7.
A relaxed structure of Th2CoCu3, computed with PBE.

Values from the calculation:
The uncorrected energy is -5.898 eV per atom. Its symmetry is Pmm2. Its volume is 115.8 Å³ per cell. The value obtained for the density of states at the Fermi level is 4.536 states/eV/cell. As for the crystal system: orthorhombic. The size of the total moment is 0.0 μB/f.u.

Unit cell a=3.687 b=4.357 c=7.208 alpha=90.00 beta=90.00 gamma=90.00
Atoms (fractional coordinates):
Th: 0.000 0.000 0.000
Th: 0.000 0.500 0.463
Co: 0.500 0.000 0.300
Cu: 0.500 0.000 0.643
Cu: 0.500 0.500 0.143
Cu: 0.500 0.500 0.806

8.
A relaxed structure of Th2Co5Cu5, computed with PBE.

Values from the calculation:
The uncorrected energy is -6.029 eV per atom. Its symmetry is Pmmm. Its volume is 176.6 Å³ per cell. The value obtained for the density of states at the Fermi level is 9.480 states/eV/cell. As for the crystal system: orthorhombic. The size of the total moment is 4.8 μB/f.u.

Unit cell a=4.021 b=4.994 c=8.796 alpha=90.00 beta=90.00 gamma=90.00
Atoms (fractional coordinates):
Th: 0.000 0.000 0.000
Th: 0.000 0.500 0.500
Co: 0.500 0.000 0.500
Co: 0.500 0.251 0.255
Co: 0.500 0.251 0.745
Co: 0.500 0.749 0.255
Co: 0.500 0.749 0.745
Cu: 0.000 0.000 0.332
Cu: 0.000 0.000 0.668
Cu: 0.000 0.500 0.171
Cu: 0.000 0.500 0.829
Cu: 0.500 0.500 0.000

9.
A relaxed structure of Th2Co2Cu3, computed with PBE.

Values from the calculation:
Its symmetry is C2/m. Its volume is 120.0 Å³ per cell. The value obtained for the density of states at the Fermi level is 4.844 states/eV/cell. The calculation puts the energy above the lowest structure with this stoichiometry at 0 meV/atom. As for the crystal system: monoclinic. The size of the total moment is 0.0 μB/f.u.

Unit cell a=5.007 b=5.007 c=6.702 alpha=98.65 beta=98.65 gamma=46.41
Atoms (fractional coordinates):
Th: 0.122 0.122 0.326
Th: 0.878 0.878 0.674
Co: 0.407 0.407 0.337
Co: 0.593 0.593 0.663
Cu: 0.194 0.194 0.895
Cu: 0.500 0.500 0.000
Cu: 0.806 0.806 0.105

10.
A relaxed structure of Th2Co15Cu2, computed with PBE.

Values from the calculation:
The uncorrected energy is -6.909 eV per atom. Its symmetry is R-3m. Its volume is 248.3 Å³ per cell. The value obtained for the density of states at the Fermi level is 25.405 states/eV/cell. As for the crystal system: trigonal. The size of the total moment is 20.0 μB/f.u.

Unit cell a=6.325 b=6.325 c=6.325 alpha=83.38 beta=83.38 gamma=83.38
Atoms (fractional coordinates):
Th: 0.156 0.156 0.156
Th: 0.844 0.844 0.844
Co: 0.000 0.500 0.500
Co: 0.152 0.152 0.651
Co: 0.152 0.651 0.152
Co: 0.215 0.500 0.785
Co: 0.215 0.785 0.500
Co: 0.349 0.848 0.848
Co: 0.500 0.000 0.500
Co: 0.500 0.215 0.785
Co: 0.500 0.500 0.000
Co: 0.500 0.785 0.215
Co: 0.651 0.152 0.152
Co: 0.785 0.215 0.500
Co: 0.785 0.500 0.215
Co: 0.848 0.349 0.848
Co: 0.848 0.848 0.349
Cu: 0.400 0.400 0.400
Cu: 0.600 0.600 0.600

11.
A relaxed structure of Th4CoCu, computed with PBE.

Values from the calculation:
The uncorrected energy is -6.954 eV per atom. Its symmetry is P4/mcc. Its volume is 300.3 Å³ per cell. The value obtained for the density of states at the Fermi level is 15.611 states/eV/cell. As for the crystal system: tetragonal. The size of the total moment is 0.0 μB/f.u.

Unit cell a=7.156 b=7.156 c=5.865 alpha=90.00 beta=90.00 gamma=90.00
Atoms (fractional coordinates):
Th: 0.156 0.325 0.000
Th: 0.156 0.675 0.500
Th: 0.325 0.156 0.500
Th: 0.325 0.844 0.000
Th: 0.675 0.156 0.000
Th: 0.675 0.844 0.500
Th: 0.844 0.325 0.500
Th: 0.844 0.675 0.000
Co: 0.000 0.000 0.250
Co: 0.000 0.000 0.750
Cu: 0.500 0.500 0.250
Cu: 0.500 0.500 0.750

12.
A relaxed structure of Th2CoCu5, computed with PBE.

Values from the calculation:
The uncorrected energy is -5.426 eV per atom. Its symmetry is Cmcm. Its volume is 279.0 Å³ per cell. The value obtained for the density of states at the Fermi level is 10.242 states/eV/cell. As for the crystal system: orthorhombic. The size of the total moment is 0.0 μB/f.u.

Unit cell a=7.969 b=7.969 c=9.009 alpha=90.00 beta=90.00 gamma=150.82
Atoms (fractional coordinates):
Th: 0.000 0.000 0.000
Th: 0.000 0.000 0.500
Th: 0.192 0.808 0.750
Th: 0.808 0.192 0.250
Co: 0.437 0.563 0.250
Co: 0.563 0.437 0.750
Cu: 0.185 0.815 0.117
Cu: 0.185 0.815 0.383
Cu: 0.349 0.651 0.017
Cu: 0.349 0.651 0.483
Cu: 0.401 0.599 0.750
Cu: 0.599 0.401 0.250
Cu: 0.651 0.349 0.517
Cu: 0.651 0.349 0.983
Cu: 0.815 0.185 0.617
Cu: 0.815 0.185 0.883